[1]
Computed, not measured: a relaxed PmHoCdNi crystal at the PBE level of DFT.

Fermi-level density of states = 0.7637 states/eV/atom
Magnetization = 0.00 Bohr magnetons per cell
DFT formation energy = -0.23 eV per atom
Uncorrected energy = -67.789 eV per cell

Cell: 7.2273 7.2273 7.2273 Å, 90.00 90.00 90.00°
With the nearest neighbours (Å) after each atom.
Space group F-43m (No. 216)
Unique sites:
1 Pm 0.0000 0.0000 0.0000  4 Cd 3.13, 4 Ni 3.13
2 Ho 0.0000 0.0000 0.5000  4 Cd 3.13, 4 Ni 3.13
3 Cd 0.2500 0.2500 0.2500  4 Ho 3.13, 4 Pm 3.13
4 Ni 0.2500 0.2500 0.7500  4 Ho 3.13, 4 Pm 3.13

=====

[2]
Computed, not measured: a relaxed Pr3Al3Au8 crystal at the PBE level of DFT.

Fermi-level density of states = 0.4778 states/eV/atom
Magnetization = 0.00 Bohr magnetons per cell
DFT formation energy = -0.66 eV per atom
Energy above the lowest structure with this stoichiometry = 0.049 eV/atom
Uncorrected energy = -121.977 eV per cell

Cell: 4.5627 9.9844 13.0620 Å, 90.00 90.00 90.00°
With the nearest neighbours (Å) after each atom.
Space group Immm (No. 71)
Unique sites:
1 Pr 0.0000 0.0000 0.0000  12 Au 3.36-3.37
2 Pr 0.0000 0.0000 0.2975  8 Au 3.22-3.25, 4 Al 3.30-3.49
3 Al 0.0000 0.1981 0.5000  6 Au 2.61-2.78
4 Al 0.0000 0.5000 0.0000  4 Au 2.57
5 Au 0.0000 0.2979 0.1221  3 Al 2.57-2.78, 2 Au 2.82
6 Au 0.0000 0.3614 0.3439  1 Al 2.61, 3 Au 2.77-2.82

=====

[3]
Computed, not measured: a relaxed Hg3W crystal at the PBE level of DFT.

Fermi-level density of states = 0.8044 states/eV/atom
Magnetization = 2.65 Bohr magnetons per cell
DFT formation energy = 1.16 eV per atom
Energy above the lowest structure with this stoichiometry = 0.707 eV/atom
Uncorrected energy = -9.222 eV per cell

Cell: 5.4686 5.4686 5.4686 Å, 90.00 90.00 90.00°
With the nearest neighbours (Å) after each atom.
Space group Pm-3m (No. 221)
Unique sites:
1 Hg 0.0000 0.0000 0.5000  2 W 2.73
2 W 0.0000 0.0000 0.0000  6 Hg 2.73

=====

[4]
Computed, not measured: a relaxed TlGaSnPb crystal at the PBE level of DFT.

Fermi-level density of states = 0.8614 states/eV/atom
Magnetization = 0.00 Bohr magnetons per cell
DFT formation energy = 0.12 eV per atom
Energy above the lowest structure with this stoichiometry = 0.066 eV/atom
Uncorrected energy = -50.570 eV per cell

Cell: 7.6912 7.6912 7.6912 Å, 90.00 90.00 90.00°
With the nearest neighbours (Å) after each atom.
Space group F-43m (No. 216)
Unique sites:
1 Tl 0.0000 0.0000 0.0000  4 Sn 3.33, 4 Ga 3.33
2 Ga 0.2500 0.2500 0.2500  4 Tl 3.33, 4 Pb 3.33
3 Sn 0.2500 0.2500 0.7500  4 Tl 3.33, 4 Pb 3.33
4 Pb 0.0000 0.0000 0.5000  4 Sn 3.33, 4 Ga 3.33

=====

[5]
Computed, not measured: a relaxed AcCuPPd6 crystal at the PBE level of DFT.

Fermi-level density of states = 0.3944 states/eV/atom
Magnetization = 0.00 Bohr magnetons per cell
DFT formation energy = -0.30 eV per atom
Uncorrected energy = -189.809 eV per cell

Cell: 5.7888 9.4450 12.4926 Å, 90.00 90.00 90.00°
With the nearest neighbours (Å) after each atom.
Space group Imma (No. 74)
Unique sites:
1 Ac 0.0000 0.2500 0.1537  7 Pd 2.87-3.18
2 Cu 0.2500 0.2500 0.7500  6 Pd 2.59-2.61, 2 Cu 2.89
3 P 0.0000 0.0000 0.5000  6 Pd 2.26-2.44
4 Pd 0.0000 0.2500 0.4521  2 P 2.44
5 Pd 0.0000 0.2500 0.9238  2 Cu 2.61, 4 Pd 2.75, 1 Ac 2.87
6 Pd 0.2469 0.0183 0.6395  1 P 2.26

=====

[6]
Computed, not measured: a relaxed Li2CeAs2 crystal at the PBE level of DFT.

Magnetization = 0.00 Bohr magnetons per cell
DFT formation energy = -0.99 eV per atom
Energy above the lowest structure with this stoichiometry = 0.000 eV/atom
Uncorrected energy = -23.998 eV per cell

Cell: 4.2766 4.2766 6.8460 Å, 90.00 90.00 120.00°
With the nearest neighbours (Å) after each atom.
Space group P-3m1 (No. 164)
Unique sites:
1 Li 0.3333 0.6667 0.1238  4 As 2.66-2.68
2 Ce 0.0000 0.0000 0.5000  6 As 2.94
3 As 0.3333 0.6667 0.7319  4 Li 2.66-2.68, 3 Ce 2.94

=====

[7]
Computed, not measured: a relaxed Pm3Au5S12 crystal at the PBE level of DFT.

Fermi-level density of states = 0.6013 states/eV/atom
Magnetization = 0.00 Bohr magnetons per cell
Uncorrected energy = -732.703 eV per cell
Formation energy from raw total energies = -0.571 eV per atom

Cell: 15.4524 15.4524 15.4524 Å, 90.00 90.00 90.00°
With the nearest neighbours (Å) after each atom.
Space group Ia-3d (No. 230)
Unique sites:
1 Pm 0.0000 0.2500 0.1250  8 S 2.89-2.99
2 Au 0.0000 0.0000 0.0000  6 S 2.49
3 Au 0.0000 0.2500 0.3750  4 S 2.43
4 S 0.0203 0.0592 0.6485  2 Au 2.43-2.49

=====

[8]
Computed, not measured: a relaxed LiTl2Pt crystal at the PBE level of DFT.

Fermi-level density of states = 0.3436 states/eV/atom
Magnetization = 0.00 Bohr magnetons per cell
DFT formation energy = -0.02 eV per atom
Uncorrected energy = -25.553 eV per cell

Cell: 6.1985 8.5614 3.2149 Å, 90.00 103.54 90.00°
With the nearest neighbours (Å) after each atom.
Space group C2/m (No. 12)
Unique sites:
1 Li 0.0000 0.0000 0.0000  4 Tl 2.90, 2 Pt 3.10, 2 Li 3.21
2 Tl 0.2500 0.2500 0.5000  2 Li 2.90, 2 Pt 2.90, 4 Tl 3.10-3.21
3 Pt 0.0000 0.5000 0.0000  4 Tl 2.90, 2 Li 3.10, 2 Pt 3.21

=====

[9]
Computed, not measured: a relaxed Tc2SbCl crystal at the PBE level of DFT.

Fermi-level density of states = 0.4544 states/eV/atom
Magnetization = 0.00 Bohr magnetons per cell
Energy above the lowest structure with this stoichiometry = 0.470 eV/atom
Uncorrected energy = -25.181 eV per cell
Formation energy from raw total energies = 0.380 eV per atom

Cell: 3.2991 3.7319 6.4557 Å, 90.00 90.00 90.00°
With the nearest neighbours (Å) after each atom.
Space group Pmmm (No. 47)
Unique sites:
1 Tc 0.0000 0.0000 0.1816  1 Tc 2.35
2 Sb 0.5000 0.5000 0.0000  8 Tc 2.75
3 Cl 0.0000 0.5000 0.5000  4 Tc 2.78

=====

[10]
Computed, not measured: a relaxed SmHfPb2O6 crystal at the PBE level of DFT.

Fermi-level density of states = 0.5819 states/eV/atom
Magnetization = 1.23 Bohr magnetons per cell
Uncorrected energy = -149.246 eV per cell
Formation energy from raw total energies = -2.278 eV per atom

Cell: 10.2841 6.0732 5.9862 Å, 90.00 124.35 90.00°
With the nearest neighbours (Å) after each atom.
Space group C2/m (No. 12)
Unique sites:
1 Sm 0.0000 0.0000 0.0000  6 O 2.33-2.37
2 Hf 0.0000 0.5000 0.5000  6 O 2.10-2.11
3 Pb 0.2487 0.0000 0.7173  5 O 2.48-2.52
4 O 0.0708 0.2596 0.3373  1 Hf 2.10, 1 Sm 2.33
5 O 0.2323 0.5000 0.8512  1 Hf 2.11

=====

What is the formula in the seventh record? Pm3Au5S12